Zn4GePd2 | GGA-PBE | optimized geometry

a = 6.5807 Å, b = 6.2791 Å, c = 6.8178 Å
α = 117.60°, β = 111.59°, γ = 93.49°
Closest atoms and distances in Å follow each position.
Atoms (fractional coordinates):
1 Pd 0.7956 0.9794 0.4398  2 Ge 2.53-2.59, 5 Zn 2.62-2.77
2 Pd 0.0216 0.5181 0.8556  7 Zn 2.55-2.80, 1 Ge 2.57
3 Pd 0.6080 0.1515 0.0799  2 Ge 2.58-2.70, 7 Zn 2.65-2.74
4 Pd 0.5140 0.3519 0.5649  6 Zn 2.51-2.81, 2 Ge 2.58-2.60
5 Zn 0.0449 0.6695 0.3033  5 Zn 2.58-2.88, 2 Ge 2.61-2.83, 2 Pd 2.68
6 Zn 0.9382 0.1529 0.9252  3 Pd 2.61-2.74, 5 Zn 2.62-2.88, 1 Ge 2.63
7 Zn 0.2833 0.9635 0.1455  3 Pd 2.51-2.65, 2 Zn 2.57-2.78
8 Zn 0.8083 0.6038 0.5101  4 Pd 2.58-2.72, 3 Zn 2.58-2.77
9 Zn 0.2563 0.2052 0.7539  1 Ge 2.52, 4 Pd 2.57-2.81, 3 Zn 2.58-2.82
10 Zn 0.3701 0.4830 0.2192  4 Zn 2.58-2.76, 1 Ge 2.68, 3 Pd 2.71-2.80
11 Zn 0.0508 0.2613 0.3783  6 Zn 2.55-2.84, 3 Pd 2.64-2.74
12 Zn 0.3036 0.6973 0.7354  3 Zn 2.55-2.72, 3 Pd 2.67-2.70, 2 Ge 2.70-2.72
13 Ge 0.5068 0.9562 0.5980  4 Zn 2.52-2.72, 3 Pd 2.53-2.70
14 Ge 0.7487 0.7565 0.9908  4 Pd 2.57-2.59, 2 Zn 2.61-2.70

## Properties
The calculation puts the density of states at the Fermi level at 4.39 states/eV/cell. For the density, the calculation gives 8.16 Mg/m³. Its energy above the most stable polymorph in this dataset is 0 kJ/mol of formula units. The total magnetization is 0.00 μB/f.u. The space group is P1 (1). Its formation energy is -240 meV/atom.